Record 1
Here is crystalline Li2Cr2S at its relaxed geometry from the Alexandria database. Energies are from PBE-GGA.

a b c (Å): 3.052 3.052 14.060
angles (deg): 90.00 90.00 90.00
Space group I4/mmm (No. 139)
Symmetry-distinct sites (fractional):
Li  0.000  0.500  0.250 (multiplicity 4)
Cr  0.000  0.000  0.079 (multiplicity 4)
S  0.000  0.000  0.500 (multiplicity 2)

Properties
For the distance to the lowest polymorph of the same formula, the calculation gives 2.347 eV per formula unit. For the uncorrected formation energy, the calculation gives 0.55 eV per atom. As for the magnetic moment: 0.006 Bohr magnetons per cell. For the total DFT energy (no corrections), the calculation gives -24.43 eV/f.u.

Record 2
Here is crystalline BaMg6Tl4 at its relaxed geometry from the Alexandria database. Energies are from PBE-GGA.

a b c (Å): 8.4865 8.4865 4.7249
angles (deg): 90.00 90.00 120.00
Space group P-6m2 (No. 187)
Symmetry-distinct sites (fractional):
Ba  0.0000  0.0000  0.0000 (multiplicity 1)
Mg  0.2079  0.4158  0.5000 (multiplicity 3)
Mg  0.5359  0.0719  0.0000 (multiplicity 3)
Tl  0.3333  0.6667  0.0000 (multiplicity 1)
Tl  0.3907  0.1954  0.5000 (multiplicity 3)

Properties
As for the magnetic moment: 0.000 Bohr magnetons per cell. For the total DFT energy (no corrections), the calculation gives -22.56 eV/f.u. For the formation energy, the calculation gives -0.1456 eV per atom.

Record 3
Here is crystalline SmFe2Co9 at its relaxed geometry from the Alexandria database. Energies are from PBE-GGA.

a b c (Å): 8.056 8.056 4.694
angles (deg): 90.00 90.00 90.00
Space group P4/mbm (No. 127)
Symmetry-distinct sites (fractional):
Sm  0.000  0.000  0.000 (multiplicity 2)
Fe  0.115  0.385  0.000 (multiplicity 4)
Co  0.000  0.500  0.500 (multiplicity 2)
Co  0.066  0.215  0.500 (multiplicity 8)
Co  0.178  0.678  0.236 (multiplicity 8)

Properties
As for the magnetic moment: 37.759 Bohr magnetons per cell. For the total DFT energy (no corrections), the calculation gives -86.23 eV/f.u. For the formation energy, the calculation gives -0.0523 eV per atom.

Record 4
Here is crystalline Cs2PrSi2O6 at its relaxed geometry from the Alexandria database. Energies are from PBE-GGA.

a b c (Å): 6.1804 6.1804 18.4267
angles (deg): 90.00 90.00 120.00
Space group R-3m (No. 166, hexagonal axes)
Symmetry-distinct sites (fractional):
Cs  0.0000  0.0000  0.2204 (multiplicity 6)
Pr  0.0000  0.0000  0.0000 (multiplicity 3)
Si  0.0000  0.0000  0.4266 (multiplicity 6)
O  0.0368  0.5184  0.2585 (multiplicity 18)

Properties
For the uncorrected formation energy, the calculation gives -2.48 eV per atom. As for the magnetic moment: 3.001 Bohr magnetons per cell. For the total DFT energy (no corrections), the calculation gives -74.36 eV/f.u.